Compound: TaCoO2
Source: Alexandria
Functional: PBE with a Hubbard U
Structure: relaxed

Cell and atoms, written as extended XYZ:
```
4
Lattice="1.6549 0.0000 6.5235 -0.8275 1.4332 6.5235 -0.8275 -1.4332 6.5235" Properties=species:S:1:pos:R:3 pbc="T T T"
Co 0.0000 0.0000 0.0000
O 0.0000 0.0000 17.6879
O 0.0000 0.0000 1.8827
Ta 0.0000 0.0000 9.7853
```

Computed properties:
* crystal system: trigonal
* E above lowest polymorph: 0.00 eV/f.u.